Computed, not measured: a relaxed CsKNpF6 crystal at the PBE level of DFT.

Size of the total moment: 0.333 μB per atom
Density of states at the Fermi level: 24.3 states/eV per cell
Formation energy from raw total energies: -314 kJ per mole of atoms
Space-group type: P-31c (163)
Calculated volume: 452.51 Å³ per cell
Electronic total energy: -6.156 eV per atom

Cell lengths 6.7224, 6.7224, 11.5625 Å; angles 90.00, 90.00, 120.00 degrees
Positions (direct):
F: 0.6551 0.0568 0.3528
F: 0.0568 0.4017 0.6472
F: 0.4017 0.3449 0.3528
F: 0.9432 0.3449 0.1472
F: 0.3449 0.4017 0.8528
F: 0.3449 0.9432 0.6472
F: 0.5983 0.6551 0.6472
F: 0.0568 0.6551 0.8528
F: 0.4017 0.0568 0.1472
F: 0.5983 0.9432 0.8528
F: 0.6551 0.5983 0.1472
F: 0.9432 0.5983 0.3528
K: 0.6667 0.3333 0.7500
K: 0.3333 0.6667 0.2500
Np: 0.3333 0.6667 0.7500
Np: 0.6667 0.3333 0.2500
Cs: 0.0000 0.0000 0.5000
Cs: 0.0000 0.0000 0.0000

=====

Computed, not measured: a relaxed CsK2NpF8 crystal at the PBE level of DFT.

Size of the total moment: 0.167 μB per atom
Density of states at the Fermi level: 11.4 states/eV per cell
Formation energy from raw total energies: -299 kJ per mole of atoms
Space-group type: I-4m2 (119)
Calculated volume: 234.44 Å³ per cell
Electronic total energy: -5.678 eV per atom

Cell lengths 6.0894, 6.0894, 7.6495 Å; angles 113.45, 113.45, 90.00 degrees
Positions (direct):
F: 0.3549 0.4350 0.2988
F: 0.9439 0.8638 0.2988
F: 0.1362 0.0561 0.7012
F: 0.5650 0.6451 0.7012
F: 0.1362 0.6451 0.7012
F: 0.3549 0.8638 0.2988
F: 0.5650 0.0561 0.7012
F: 0.9439 0.4350 0.2988
K: 0.7500 0.2500 0.5000
K: 0.0000 0.0000 0.0000
Cs: 0.5000 0.5000 0.0000
Np: 0.2500 0.7500 0.5000

=====

Computed, not measured: a relaxed Cs3K2NpF9 crystal at the PBE level of DFT.

Size of the total moment: 0.200 μB per atom
Density of states at the Fermi level: 11.8 states/eV per cell
Formation energy from raw total energies: -292 kJ per mole of atoms
Space-group type: P-3m1 (164)
Calculated volume: 362.67 Å³ per cell
Electronic total energy: -5.325 eV per atom

Cell lengths 6.9419, 6.9419, 8.6901 Å; angles 90.00, 90.00, 120.00 degrees
Positions (direct):
F: 0.2901 0.1450 0.6488
F: 0.1450 0.8550 0.3512
F: 0.5000 0.5000 0.0000
F: 0.5000 0.0000 0.0000
F: 0.7099 0.8550 0.3512
F: 0.8550 0.7099 0.6488
F: 0.8550 0.1450 0.6488
F: 0.1450 0.2901 0.3512
F: 0.0000 0.5000 0.0000
Cs: 0.3333 0.6667 0.7588
Cs: 0.6667 0.3333 0.2412
Cs: 0.0000 0.0000 0.0000
K: 0.3333 0.6667 0.1843
K: 0.6667 0.3333 0.8157
Np: 0.0000 0.0000 0.5000

=====

Computed, not measured: a relaxed Cs2KNpF6 crystal at the PBE level of DFT.

Size of the total moment: 0.399 μB per atom
Density of states at the Fermi level: 12.0 states/eV per cell
Formation energy from raw total energies: -294 kJ per mole of atoms
Space-group type: Fm-3m (225)
Calculated volume: 234.16 Å³ per cell
Electronic total energy: -5.749 eV per atom

Cell lengths 6.9172, 6.9219, 6.9176 Å; angles 59.99, 60.00, 90.01 degrees
Positions (direct):
K: 0.0000 0.0000 0.0000
F: 0.2659 0.2659 0.0001
F: 0.2660 0.7340 0.9999
F: 0.7341 0.7342 0.5318
F: 0.7341 0.7341 0.9999
F: 0.2659 0.2658 0.4682
F: 0.7340 0.2660 0.0001
Cs: 0.7499 0.2498 0.5002
Cs: 0.2501 0.7502 0.4998
Np: 0.5000 0.5000 0.0000

=====

Computed, not measured: a relaxed Cs3KOF2 crystal at the PBE level of DFT.

Size of the total moment: 0.000 μB per atom
Density of states at the Fermi level: 0.4 states/eV per cell
Formation energy from raw total energies: -172 kJ per mole of atoms
Space-group type: Immm (71)
Calculated volume: 230.40 Å³ per cell
Electronic total energy: -3.550 eV per atom

Cell lengths 5.0758, 5.7590, 8.7668 Å; angles 109.17, 106.83, 90.00 degrees
Positions (direct):
K: 0.5000 0.0000 0.0000
O: 0.0000 0.0000 0.0000
Cs: 0.1769 0.1769 0.3539
Cs: 0.0000 0.5000 0.0000
Cs: 0.8231 0.8231 0.6461
F: 0.3618 0.3618 0.7236
F: 0.6382 0.6382 0.2764

=====

Computed, not measured: a relaxed Cs2KOF crystal at the PBE level of DFT.

Size of the total moment: 0.014 μB per atom
Excess energy over the best structure of this formula in the dataset: 0 meV per atom
Formation energy from raw total energies: -158 kJ per mole of atoms
Space-group type: Cmcm (63)
Calculated volume: 296.41 Å³ per cell
Electronic total energy: -3.561 eV per atom

Cell lengths 4.2338, 7.3731, 9.9128 Å; angles 90.00, 90.00, 106.69 degrees
Positions (direct):
Cs: 0.3682 0.7363 0.0497
Cs: 0.6318 0.2637 0.5497
Cs: 0.6318 0.2637 0.9503
Cs: 0.3682 0.7363 0.4503
K: 0.9188 0.8376 0.7500
K: 0.0812 0.1624 0.2500
F: 0.3067 0.6134 0.7500
F: 0.6933 0.3866 0.2500
O: 0.0000 0.0000 0.5000
O: 0.0000 0.0000 0.0000

=====

Computed, not measured: a relaxed Cs2KOF crystal at the PBE level of DFT.

Size of the total moment: 0.000 μB per atom
Density of states at the Fermi level: 0.1 states/eV per cell
Excess energy over the best structure of this formula in the dataset: 638 meV per atom
Formation energy from raw total energies: -96 kJ per mole of atoms
Space-group type: P4/mmm (123)
Calculated volume: 197.55 Å³ per cell
Electronic total energy: -2.923 eV per atom

Cell lengths 6.5717, 4.5743, 6.5717 Å; angles 90.00, 90.00, 90.00 degrees
Positions (direct):
O: 0.0000 0.5000 0.0000
Cs: 0.5000 0.0000 0.0000
Cs: 0.0000 0.0000 0.5000
F: 0.5000 0.5000 0.5000
K: 0.0000 0.0000 0.0000

=====

Computed, not measured: a relaxed Cs8KO2F crystal at the PBE level of DFT.

Size of the total moment: 0.000 μB per atom
Density of states at the Fermi level: 5.3 states/eV per cell
Formation energy from raw total energies: -87 kJ per mole of atoms
Space-group type: P-3m1 (164)
Calculated volume: 849.66 Å³ per cell
Electronic total energy: -2.540 eV per atom

Cell lengths 8.9134, 8.9134, 12.3489 Å; angles 90.00, 90.00, 120.00 degrees
Positions (direct):
O: 0.3333 0.6667 0.7727
O: 0.6667 0.3333 0.2273
Cs: 0.3365 0.1683 0.1584
Cs: 0.1683 0.8317 0.8416
Cs: 0.3333 0.6667 0.5574
Cs: 0.6635 0.8317 0.8416
Cs: 0.8317 0.6635 0.1584
Cs: 0.1683 0.3365 0.8416
Cs: 0.6667 0.3333 0.4426
Cs: 0.8317 0.1683 0.1584
K: 0.0000 0.0000 0.5000
F: 0.0000 0.0000 0.0000

=====

Computed, not measured: a relaxed Cs2KOF6 crystal at the PBE level of DFT.

Size of the total moment: 0.100 μB per atom
Density of states at the Fermi level: 0.0 states/eV per cell
Formation energy from raw total energies: -152 kJ per mole of atoms
Space-group type: I4/mmm (139)
Calculated volume: 195.03 Å³ per cell
Electronic total energy: -3.477 eV per atom

Cell lengths 6.1693, 6.1693, 6.7295 Å; angles 62.72, 62.72, 90.00 degrees
Positions (direct):
F: 0.7011 0.2989 0.0000
F: 0.7558 0.7558 0.4884
F: 0.2989 0.2989 0.0000
F: 0.7011 0.7011 0.0000
F: 0.2989 0.7011 0.0000
F: 0.2442 0.2442 0.5116
O: 0.5000 0.5000 0.0000
K: 0.0000 0.0000 0.0000
Cs: 0.7500 0.2500 0.5000
Cs: 0.2500 0.7500 0.5000

=====

Computed, not measured: a relaxed Cs4K3U3Si4O20F crystal at the PBE level of DFT.

Size of the total moment: 0.000 μB per atom
Density of states at the Fermi level: 0.0 states/eV per cell
Formation energy from raw total energies: -267 kJ per mole of atoms
Space-group type: Cmc2_1 (36)
Calculated volume: 1292.90 Å³ per cell
Electronic total energy: -7.430 eV per atom

Cell lengths 11.9327, 11.9327, 14.5516 Å; angles 90.00, 90.00, 141.39 degrees
Positions (direct):
O: 0.0455 0.5340 0.5143
O: 0.3808 0.0351 0.6479
O: 0.5340 0.0455 0.0143
O: 0.4660 0.9545 0.5143
O: 0.1832 0.8168 0.8131
O: 0.1239 0.2700 0.2991
O: 0.9350 0.0650 0.1316
O: 0.1616 0.4486 0.9733
O: 0.2934 0.2770 0.4250
O: 0.7300 0.8761 0.2991
O: 0.2770 0.2934 0.9250
O: 0.8761 0.7300 0.7991
O: 0.8108 0.5947 0.9711
O: 0.0535 0.9465 0.9477
O: 0.4094 0.5906 0.8233
O: 0.6974 0.3026 0.8689
O: 0.4053 0.1892 0.9711
O: 0.4486 0.1616 0.4733
O: 0.4479 0.5521 0.0742
O: 0.6592 0.3408 0.1192
O: 0.9545 0.4660 0.0143
O: 0.3026 0.6974 0.3689
O: 0.8168 0.1832 0.3131
O: 0.0650 0.9350 0.6316
O: 0.7230 0.7066 0.4250
O: 0.8384 0.5514 0.4733
O: 0.9649 0.6192 0.6479
O: 0.2700 0.1239 0.7991
O: 0.6192 0.9649 0.1479
O: 0.5947 0.8108 0.4711
O: 0.0351 0.3808 0.1479
O: 0.7121 0.2879 0.5821
O: 0.5521 0.4479 0.5742
O: 0.3408 0.6592 0.6192
O: 0.5514 0.8384 0.9733
O: 0.1892 0.4053 0.4711
O: 0.5906 0.4094 0.3233
O: 0.2879 0.7121 0.0821
O: 0.7066 0.7230 0.9250
O: 0.9465 0.0535 0.4477
F: 0.1306 0.8694 0.2054
F: 0.8694 0.1306 0.7054
U: 0.1251 0.8749 0.7209
U: 0.6778 0.3222 0.9939
U: 0.4290 0.5710 0.9486
U: 0.5710 0.4290 0.4486
U: 0.8749 0.1251 0.2209
U: 0.3222 0.6778 0.4939
Si: 0.2588 0.1437 0.9092
Si: 0.5055 0.8958 0.0529
Si: 0.4945 0.1042 0.5529
Si: 0.7412 0.8563 0.4092
Si: 0.8958 0.5055 0.5529
Si: 0.1437 0.2588 0.4092
Si: 0.1042 0.4945 0.0529
Si: 0.8563 0.7412 0.9092
K: 0.8297 0.1703 0.5230
K: 0.3805 0.6195 0.2319
K: 0.6195 0.3805 0.7319
K: 0.0804 0.9196 0.4518
K: 0.1703 0.8297 0.0230
K: 0.9196 0.0804 0.9518
Cs: 0.7856 0.7059 0.1679
Cs: 0.5333 0.9569 0.7829
Cs: 0.0431 0.4667 0.7829
Cs: 0.7059 0.7856 0.6679
Cs: 0.4667 0.0431 0.2829
Cs: 0.2941 0.2144 0.1679
Cs: 0.2144 0.2941 0.6679
Cs: 0.9569 0.5333 0.2829

=====

Computed, not measured: a relaxed Cs2KZrOF5 crystal at the PBE level of DFT.

Size of the total moment: 0.013 μB per atom
Density of states at the Fermi level: 0.0 states/eV per cell
Formation energy from raw total energies: -300 kJ per mole of atoms
Space-group type: I4mm (107)
Calculated volume: 211.65 Å³ per cell
Electronic total energy: -5.679 eV per atom

Cell lengths 6.7019, 6.7019, 6.7019 Å; angles 120.37, 120.37, 89.36 degrees
Positions (direct):
K: 0.5018 0.5018 0.0000
F: 0.7847 0.2279 0.0000
F: 0.7847 0.7847 0.5568
F: 0.2279 0.2279 0.4432
F: 0.2279 0.7847 0.0000
F: 0.2200 0.2200 0.0000
O: 0.7838 0.7838 0.0000
Cs: 0.7433 0.2433 0.5000
Cs: 0.2433 0.7433 0.5000
Zr: 0.9826 0.9826 0.0000

=====

Computed, not measured: a relaxed CsKPF6 crystal at the PBE level of DFT.

Size of the total moment: 0.111 μB per atom
Density of states at the Fermi level: 0.4 states/eV per cell
Formation energy from raw total energies: -240 kJ per mole of atoms
Space-group type: P1 (1)
Calculated volume: 168.22 Å³ per cell
Electronic total energy: -4.552 eV per atom

Cell lengths 5.6544, 6.2618, 5.3390 Å; angles 93.97, 90.00, 63.20 degrees
Positions (direct):
F: 0.1506 0.6972 0.3596
F: 0.1775 0.2090 0.3382
F: 0.6119 0.2092 0.3364
F: 0.0577 0.4412 0.7496
F: 0.5024 0.4414 0.7481
F: 0.4627 0.0756 0.6810
K: 0.6829 0.6344 0.3556
Cs: 0.0196 0.9609 0.8930
P: 0.3344 0.3311 0.5384